(1)
# CaAc2Er

A relaxed structure of CaAc2Er (PBE, Alexandria via LeMat-Bulk).

```
data_CaAc2Er
_chemical_formula_sum 'Ca1 Ac2 Er1'
_cell_length_a 6.090
_cell_length_b 6.090
_cell_length_c 6.090
_cell_angle_alpha 60.00
_cell_angle_beta 60.00
_cell_angle_gamma 60.00
_symmetry_space_group_name_H-M 'P 1'
_symmetry_Int_Tables_number 1
loop_
_symmetry_equiv_pos_as_xyz
'x,y,z'
loop_
_atom_site_label
_atom_site_fract_x
_atom_site_fract_y
_atom_site_fract_z
Ca1 0.000 0.000 0.000
Ac1 0.250 0.250 0.250
Ac2 0.750 0.750 0.750
Er1 0.500 0.500 0.500
```

Energy of formation from the pure elements = 1.7 kcal/mol of atoms
Total moment = 0.007 μB/cell
Total energy = -3.62 eV per atom
Symmetry = No. 225
Energy above the lowest structure with this stoichiometry = 7.2 kJ/mol of formula units

(2)
# CaAcEr2

A relaxed structure of CaAcEr2 (PBE, Alexandria via LeMat-Bulk).

```
data_CaAcEr2
_chemical_formula_sum 'Ca1 Ac1 Er2'
_cell_length_a 12.971
_cell_length_b 12.971
_cell_length_c 12.971
_cell_angle_alpha 16.17
_cell_angle_beta 16.17
_cell_angle_gamma 16.17
_symmetry_space_group_name_H-M 'P 1'
_symmetry_Int_Tables_number 1
loop_
_symmetry_equiv_pos_as_xyz
'x,y,z'
loop_
_atom_site_label
_atom_site_fract_x
_atom_site_fract_y
_atom_site_fract_z
Ca1 0.000 0.000 0.000
Ac1 0.500 0.500 0.500
Er1 0.089 0.089 0.089
Er2 0.911 0.911 0.911
```

Energy of formation from the pure elements = 5.3 kcal/mol of atoms
Total moment = 0.001 μB/cell
Total energy = -3.58 eV per atom
Symmetry = No. 166
Energy above the lowest structure with this stoichiometry = 47.3 kJ/mol of formula units

(3)
# CaAcEr2

A relaxed structure of CaAcEr2 (PBE, Alexandria via LeMat-Bulk).

```
data_CaAcEr2
_chemical_formula_sum 'Ca1 Ac1 Er2'
_cell_length_a 12.236
_cell_length_b 12.236
_cell_length_c 12.236
_cell_angle_alpha 17.47
_cell_angle_beta 17.47
_cell_angle_gamma 17.47
_symmetry_space_group_name_H-M 'P 1'
_symmetry_Int_Tables_number 1
loop_
_symmetry_equiv_pos_as_xyz
'x,y,z'
loop_
_atom_site_label
_atom_site_fract_x
_atom_site_fract_y
_atom_site_fract_z
Ca1 0.000 0.000 0.000
Ac1 0.166 0.166 0.166
Er1 0.582 0.582 0.582
Er2 0.751 0.751 0.751
```

Energy of formation from the pure elements = 2.5 kcal/mol of atoms
Total moment = 0.001 μB/cell
Total energy = -3.70 eV per atom
Symmetry = No. 160
Energy above the lowest structure with this stoichiometry = 0.0 kJ/mol of formula units

(4)
# CaAc2Er

A relaxed structure of CaAc2Er (PBE, Alexandria via LeMat-Bulk).

```
data_CaAc2Er
_chemical_formula_sum 'Ca1 Ac2 Er1'
_cell_length_a 12.739
_cell_length_b 12.739
_cell_length_c 12.739
_cell_angle_alpha 17.38
_cell_angle_beta 17.38
_cell_angle_gamma 17.38
_symmetry_space_group_name_H-M 'P 1'
_symmetry_Int_Tables_number 1
loop_
_symmetry_equiv_pos_as_xyz
'x,y,z'
loop_
_atom_site_label
_atom_site_fract_x
_atom_site_fract_y
_atom_site_fract_z
Ca1 0.000 0.000 0.000
Ac1 0.579 0.579 0.579
Ac2 0.756 0.756 0.756
Er1 0.167 0.167 0.167
```

Energy of formation from the pure elements = 1.3 kcal/mol of atoms
Total moment = 0.000 μB/cell
Total energy = -3.64 eV per atom
Symmetry = No. 160
Energy above the lowest structure with this stoichiometry = 0.0 kJ/mol of formula units